# 1
# ZnTePb2 (PBE, optimized geometry)
data_ZnTePb2
_chemical_formula_sum 'Zn3 Te3 Pb6'
_cell_length_a 4.0690
_cell_length_b 4.0690
_cell_length_c 24.4518
_cell_angle_alpha 90.00
_cell_angle_beta 90.00
_cell_angle_gamma 120.00
_symmetry_space_group_name_H-M 'R 3 m'
_symmetry_Int_Tables_number 160
_symmetry_space_group_name_Hall 'R 3 -2"'
loop_
_atom_site_label
_atom_site_type_symbol
_atom_site_fract_x
_atom_site_fract_y
_atom_site_fract_z
Zn1 Zn 0.0000 0.0000 0.0000
Te1 Te 0.0000 0.0000 0.2752
Pb1 Pb 0.0000 0.0000 0.5132
Pb2 Pb 0.0000 0.0000 0.7460
# total DFT energy (no corrections) = -2.993 eV/atom
# total moment = 0.00 μB/f.u.
# E above lowest polymorph = 0.000 eV per atom

=====

# 2
# ZnTe2Pb (PBE, optimized geometry)
data_ZnTe2Pb
_chemical_formula_sum 'Zn2 Te4 Pb2'
_cell_length_a 6.214
_cell_length_b 11.172
_cell_length_c 3.419
_cell_angle_alpha 90.00
_cell_angle_beta 108.55
_cell_angle_gamma 90.00
_symmetry_space_group_name_H-M 'C 1 2/m 1'
_symmetry_Int_Tables_number 12
loop_
_symmetry_equiv_pos_as_xyz
'x,y,z'
'-x,-y,-z'
'-x,y,-z'
'x,-y,z'
'x+1/2,y+1/2,z'
'-x+1/2,-y+1/2,-z'
'-x+1/2,y+1/2,-z'
'x+1/2,-y+1/2,z'
loop_
_atom_site_label
_atom_site_type_symbol
_atom_site_fract_x
_atom_site_fract_y
_atom_site_fract_z
Zn1 Zn 0.000 0.000 0.000
Te1 Te 0.250 0.250 0.500
Pb1 Pb 0.000 0.500 0.000
# total DFT energy (no corrections) = -2.668 eV/atom
# total moment = 0.00 μB/f.u.
# E above lowest polymorph = 0.459 eV per atom

=====

# 3
# Zn2TePb (PBE, optimized geometry)
data_Zn2TePb
_chemical_formula_sum 'Zn8 Te4 Pb4'
_cell_length_a 7.480
_cell_length_b 7.480
_cell_length_c 7.480
_cell_angle_alpha 90.00
_cell_angle_beta 90.00
_cell_angle_gamma 90.00
_symmetry_space_group_name_H-M 'F -4 3 m'
_symmetry_Int_Tables_number 216
_symmetry_space_group_name_Hall 'F -4 2 3'
loop_
_atom_site_label
_atom_site_type_symbol
_atom_site_fract_x
_atom_site_fract_y
_atom_site_fract_z
Zn1 Zn 0.000 0.000 0.000
Zn2 Zn 0.250 0.250 0.250
Te1 Te 0.250 0.250 0.750
Pb1 Pb 0.000 0.000 0.500
# total DFT energy (no corrections) = -2.134 eV/atom
# total moment = 0.00 μB/f.u.
# E above lowest polymorph = 0.253 eV per atom

=====

# 4
# ZnTe2Pb (PBE, optimized geometry)
data_ZnTe2Pb
_chemical_formula_sum 'Zn3 Te6 Pb3'
_cell_length_a 5.0246
_cell_length_b 5.0246
_cell_length_c 24.1165
_cell_angle_alpha 90.00
_cell_angle_beta 90.00
_cell_angle_gamma 120.00
_symmetry_space_group_name_H-M 'R -3 m'
_symmetry_Int_Tables_number 166
_symmetry_space_group_name_Hall '-R 3 2"'
loop_
_atom_site_label
_atom_site_type_symbol
_atom_site_fract_x
_atom_site_fract_y
_atom_site_fract_z
Zn1 Zn 0.0000 0.0000 0.0000
Te1 Te 0.0000 0.0000 0.1023
Pb1 Pb 0.0000 0.0000 0.5000
# total DFT energy (no corrections) = -3.007 eV/atom
# total moment = 0.00 μB/f.u.
# E above lowest polymorph = 0.120 eV per atom

=====

# 5
# Zn2TePb (PBE, optimized geometry)
data_Zn2TePb
_chemical_formula_sum 'Zn4 Te2 Pb2'
_cell_length_a 6.345
_cell_length_b 7.985
_cell_length_c 4.527
_cell_angle_alpha 90.00
_cell_angle_beta 115.77
_cell_angle_gamma 90.00
_symmetry_space_group_name_H-M 'C 1 2/m 1'
_symmetry_Int_Tables_number 12
loop_
_symmetry_equiv_pos_as_xyz
'x,y,z'
'-x,-y,-z'
'-x,y,-z'
'x,-y,z'
'x+1/2,y+1/2,z'
'-x+1/2,-y+1/2,-z'
'-x+1/2,y+1/2,-z'
'x+1/2,-y+1/2,z'
loop_
_atom_site_label
_atom_site_type_symbol
_atom_site_fract_x
_atom_site_fract_y
_atom_site_fract_z
Zn1 Zn 0.250 0.250 0.000
Te1 Te 0.000 0.000 0.500
Pb1 Pb 0.000 0.500 0.500
# total DFT energy (no corrections) = -2.233 eV/atom
# total moment = 0.00 μB/f.u.
# E above lowest polymorph = 0.155 eV per atom

=====

# 6
# ZnTePb2 (PBE, optimized geometry)
data_ZnTePb2
_chemical_formula_sum 'Zn2 Te2 Pb4'
_cell_length_a 4.557
_cell_length_b 4.557
_cell_length_c 11.269
_cell_angle_alpha 90.00
_cell_angle_beta 90.00
_cell_angle_gamma 90.00
_symmetry_space_group_name_H-M 'I -4 m 2'
_symmetry_Int_Tables_number 119
_symmetry_space_group_name_Hall 'I -4 -2'
loop_
_atom_site_label
_atom_site_type_symbol
_atom_site_fract_x
_atom_site_fract_y
_atom_site_fract_z
Zn1 Zn 0.000 0.000 0.000
Te1 Te 0.000 0.500 0.250
Pb1 Pb 0.000 0.000 0.500
Pb2 Pb 0.000 0.500 0.750
# total DFT energy (no corrections) = -2.911 eV/atom
# total moment = 0.00 μB/f.u.
# E above lowest polymorph = 0.082 eV per atom

=====

# 7
# ZnTePb2 (PBE, optimized geometry)
data_ZnTePb2
_chemical_formula_sum 'Zn2 Te2 Pb4'
_cell_length_a 7.580
_cell_length_b 4.413
_cell_length_c 7.630
_cell_angle_alpha 90.00
_cell_angle_beta 109.79
_cell_angle_gamma 90.00
_symmetry_space_group_name_H-M 'C 1 2/m 1'
_symmetry_Int_Tables_number 12
loop_
_symmetry_equiv_pos_as_xyz
'x,y,z'
'-x,-y,-z'
'-x,y,-z'
'x,-y,z'
'x+1/2,y+1/2,z'
'-x+1/2,-y+1/2,-z'
'-x+1/2,y+1/2,-z'
'x+1/2,-y+1/2,z'
loop_
_atom_site_label
_atom_site_type_symbol
_atom_site_fract_x
_atom_site_fract_y
_atom_site_fract_z
Zn1 Zn 0.000 0.000 0.000
Te1 Te 0.000 0.500 0.500
Pb1 Pb 0.237 0.500 0.218
# total DFT energy (no corrections) = -2.952 eV/atom
# total moment = 0.00 μB/f.u.
# E above lowest polymorph = 0.041 eV per atom

=====

# 8
# ZnTePb2 (PBE, optimized geometry)
data_ZnTePb2
_chemical_formula_sum 'Zn1 Te1 Pb2'
_cell_length_a 4.463
_cell_length_b 3.994
_cell_length_c 6.824
_cell_angle_alpha 90.00
_cell_angle_beta 106.71
_cell_angle_gamma 90.00
_symmetry_space_group_name_H-M 'P 1 m 1'
_symmetry_Int_Tables_number 6
loop_
_symmetry_equiv_pos_as_xyz
'x,y,z'
'x,-y,z'
loop_
_atom_site_label
_atom_site_type_symbol
_atom_site_fract_x
_atom_site_fract_y
_atom_site_fract_z
Zn1 Zn 0.000 0.000 0.000
Te1 Te 0.252 0.500 0.279
Pb1 Pb 0.464 0.500 0.852
Pb2 Pb 0.861 0.000 0.542
# total DFT energy (no corrections) = -2.964 eV/atom
# total moment = 0.00 μB/f.u.
# E above lowest polymorph = 0.029 eV per atom

=====

# 9
# ZnTe2Pb (PBE, optimized geometry)
data_ZnTe2Pb
_chemical_formula_sum 'Zn2 Te4 Pb2'
_cell_length_a 6.703
_cell_length_b 8.241
_cell_length_c 4.118
_cell_angle_alpha 90.00
_cell_angle_beta 90.00
_cell_angle_gamma 90.00
_symmetry_space_group_name_H-M 'C m m m'
_symmetry_Int_Tables_number 65
_symmetry_space_group_name_Hall '-C 2 2'
loop_
_atom_site_label
_atom_site_type_symbol
_atom_site_fract_x
_atom_site_fract_y
_atom_site_fract_z
Zn1 Zn 0.000 0.000 0.000
Te1 Te 0.250 0.250 0.500
Pb1 Pb 0.000 0.500 0.000
# total DFT energy (no corrections) = -2.763 eV/atom
# total moment = 0.00 μB/f.u.
# E above lowest polymorph = 0.363 eV per atom

=====

# 10
# Zn2TePb (PBE, optimized geometry)
data_Zn2TePb
_chemical_formula_sum 'Zn2 Te1 Pb1'
_cell_length_a 4.085
_cell_length_b 4.201
_cell_length_c 5.858
_cell_angle_alpha 90.00
_cell_angle_beta 90.00
_cell_angle_gamma 90.00
_symmetry_space_group_name_H-M 'P m m m'
_symmetry_Int_Tables_number 47
loop_
_symmetry_equiv_pos_as_xyz
'x,y,z'
'-x,-y,-z'
'-x,-y,z'
'x,y,-z'
'x,-y,-z'
'-x,y,z'
'-x,y,-z'
'x,-y,z'
loop_
_atom_site_label
_atom_site_type_symbol
_atom_site_fract_x
_atom_site_fract_y
_atom_site_fract_z
Zn1 Zn 0.000 0.000 0.000
Zn2 Zn 0.500 0.000 0.500
Te1 Te 0.000 0.500 0.500
Pb1 Pb 0.500 0.500 0.000
# total DFT energy (no corrections) = -2.229 eV/atom
# total moment = 0.00 μB/f.u.
# E above lowest polymorph = 0.159 eV per atom

=====

# 11
# Zn2TePb (PBE, optimized geometry)
data_Zn2TePb
_chemical_formula_sum 'Zn2 Te1 Pb1'
_cell_length_a 4.817
_cell_length_b 3.961
_cell_length_c 5.844
_cell_angle_alpha 90.00
_cell_angle_beta 105.00
_cell_angle_gamma 90.00
_symmetry_space_group_name_H-M 'P 1 2/m 1'
_symmetry_Int_Tables_number 10
loop_
_symmetry_equiv_pos_as_xyz
'x,y,z'
'-x,-y,-z'
'-x,y,-z'
'x,-y,z'
loop_
_atom_site_label
_atom_site_type_symbol
_atom_site_fract_x
_atom_site_fract_y
_atom_site_fract_z
Zn1 Zn 0.153 0.000 0.214
Te1 Te 0.000 0.500 0.500
Pb1 Pb 0.500 0.500 0.000
# total DFT energy (no corrections) = -2.337 eV/atom
# total moment = 0.00 μB/f.u.
# E above lowest polymorph = 0.051 eV per atom

=====

# 12
# ZnTePb2 (PBE, optimized geometry)
data_ZnTePb2
_chemical_formula_sum 'Zn4 Te4 Pb8'
_cell_length_a 7.689
_cell_length_b 7.689
_cell_length_c 7.689
_cell_angle_alpha 90.00
_cell_angle_beta 90.00
_cell_angle_gamma 90.00
_symmetry_space_group_name_H-M 'F -4 3 m'
_symmetry_Int_Tables_number 216
_symmetry_space_group_name_Hall 'F -4 2 3'
loop_
_atom_site_label
_atom_site_type_symbol
_atom_site_fract_x
_atom_site_fract_y
_atom_site_fract_z
Zn1 Zn 0.000 0.000 0.000
Te1 Te 0.250 0.250 0.750
Pb1 Pb 0.000 0.000 0.500
Pb2 Pb 0.250 0.250 0.250
# total DFT energy (no corrections) = -2.818 eV/atom
# total moment = 0.00 μB/f.u.
# E above lowest polymorph = 0.175 eV per atom

=====

# 13
# ZnTe2Pb (PBE, optimized geometry)
data_ZnTe2Pb
_chemical_formula_sum 'Zn2 Te4 Pb2'
_cell_length_a 4.185
_cell_length_b 7.048
_cell_length_c 8.379
_cell_angle_alpha 90.00
_cell_angle_beta 90.00
_cell_angle_gamma 90.00
_symmetry_space_group_name_H-M 'C m m m'
_symmetry_Int_Tables_number 65
_symmetry_space_group_name_Hall '-C 2 2'
loop_
_atom_site_label
_atom_site_type_symbol
_atom_site_fract_x
_atom_site_fract_y
_atom_site_fract_z
Zn1 Zn 0.000 0.000 0.000
Te1 Te 0.000 0.500 0.216
Pb1 Pb 0.000 0.000 0.500
# total DFT energy (no corrections) = -2.811 eV/atom
# total moment = 0.00 μB/f.u.
# E above lowest polymorph = 0.316 eV per atom

=====

# 14
# ZrZn2TePb (PBE, optimized geometry)
data_ZrZn2TePb
_chemical_formula_sum 'Zr1 Zn2 Te1 Pb1'
_cell_length_a 5.307
_cell_length_b 5.307
_cell_length_c 5.466
_cell_angle_alpha 90.00
_cell_angle_beta 90.00
_cell_angle_gamma 90.00
_symmetry_space_group_name_H-M 'P 4/m m m'
_symmetry_Int_Tables_number 123
_symmetry_space_group_name_Hall '-P 4 2'
loop_
_atom_site_label
_atom_site_type_symbol
_atom_site_fract_x
_atom_site_fract_y
_atom_site_fract_z
Zr1 Zr 0.000 0.000 0.000
Zn1 Zn 0.000 0.500 0.000
Te1 Te 0.000 0.000 0.500
Pb1 Pb 0.500 0.500 0.500
# total DFT energy (no corrections) = -3.241 eV/atom
# total moment = 0.00 μB/f.u.

=====

# 15
# Zr3TePb (PBE, optimized geometry)
data_Zr3TePb
_chemical_formula_sum 'Zr3 Te1 Pb1'
_cell_length_a 5.435
_cell_length_b 5.435
_cell_length_c 5.435
_cell_angle_alpha 90.00
_cell_angle_beta 90.00
_cell_angle_gamma 90.00
_symmetry_space_group_name_H-M 'P m -3 m'
_symmetry_Int_Tables_number 221
_symmetry_space_group_name_Hall '-P 4 2 3'
loop_
_atom_site_label
_atom_site_type_symbol
_atom_site_fract_x
_atom_site_fract_y
_atom_site_fract_z
Zr1 Zr 0.000 0.000 0.500
Te1 Te 0.500 0.500 0.500
Pb1 Pb 0.000 0.000 0.000
# total DFT energy (no corrections) = -5.530 eV/atom
# total moment = 4.27 μB/f.u.
# E above lowest polymorph = 1.337 eV per atom

=====

Computed values of formation energy from raw total energies (unit: eV per atom) for the preceding records, in sequence: -0.035 0.149 0.215 -0.190 0.117 0.047 0.006 -0.006 0.053 0.121 0.013 0.140 0.005 0.348 0.969.